# 1
VASP calculation (PBE-GGA) on a relaxed structure of MgAlNi2.

Computed properties:
E_tot: -4.41 eV/atom
Calculated formation energy: -0.183 eV per atom

abc: 5.9610 5.9610 5.9610
angles: 90.00 90.00 90.00
Space group F-43m (No. 216)
Asymmetric unit:
1 Mg 0.0000 0.0000 0.0000 [4 per cell]
2 Al 0.2500 0.2500 0.2500 [4 per cell]
3 Ni 0.0000 0.0000 0.5000 [4 per cell]
4 Ni 0.2500 0.2500 0.7500 [4 per cell]



# 2
VASP calculation (PBE-GGA) on a relaxed structure of Pa2Al3Au.

Computed properties:
E_tot: -5.98 eV/atom
Calculated formation energy: -0.398 eV per atom

abc: 5.6668 5.6668 12.8526
angles: 90.00 90.00 120.00
Space group R-3m (No. 166, hexagonal axes)
Asymmetric unit:
1 Pa 0.0000 0.0000 0.1063 [6 per cell]
2 Al 0.0000 0.5000 0.0000 [9 per cell]
3 Au 0.0000 0.0000 0.5000 [3 per cell]



# 3
VASP calculation (PBE-GGA) on a relaxed structure of Rb3Ce2TlTe6.

Computed properties:
E_tot: -4.10 eV/atom
E_form (uncorrected): -1102 meV/atom

abc: 8.2341 14.2427 8.8251
angles: 90.00 108.14 90.00
Space group C2/m (No. 12)
Asymmetric unit:
1 Rb 0.0000 0.0000 0.0000 [2 per cell]
2 Rb 0.0000 0.3439 0.0000 [4 per cell]
3 Ce 0.0000 0.1678 0.5000 [4 per cell]
4 Tl 0.0000 0.5000 0.5000 [2 per cell]
5 Te 0.2041 0.0000 0.6983 [4 per cell]
6 Te 0.2500 0.1817 0.2975 [8 per cell]



- The lowest E_tot belongs to which entry?
  Pa2Al3Au